## PuUFe2Ge4 (GGA-PBE)

Data for PuUFe2Ge4 after structural relaxation.

Summary:
Calculated total energy = -61.61 eV for the cell shown
Symmetry = P4/mmm, No. 123
ΔH_f (0 K) = -57 kJ/mol of formula units
Calculated density = 9.50 g/cm3

Cell lengths 4.193, 4.193, 8.794 Å; angles 90.00, 90.00, 90.00 degrees
Site moments in Bohr magnetons follow the coordinates.
Atoms (fractional coordinates):
U  0.000  0.000  0.500  -2.16
Ge  0.500  0.000  0.738  0.03
Ge  0.000  0.500  0.738  0.03
Ge  0.500  0.000  0.262  0.03
Ge  0.000  0.500  0.262  0.03
Fe  0.500  0.500  0.122  -1.50
Fe  0.500  0.500  0.878  -1.50
Pu  0.000  0.000  0.000  5.09